# 1
First-principles (GGA-PBE) data for a relaxed VCu2Pt crystal, as listed in the Alexandria database.

calculated formation energy = -67 meV/atom
total magnetic moment = 0.00 μB/f.u.

a = 5.955 Å, b = 5.955 Å, c = 5.955 Å
α = 90.00°, β = 90.00°, γ = 90.00°
Space group Fm-3m (No. 225)
Unique sites:
1 V 0.000 0.000 0.000 [4 per cell]
2 Cu 0.250 0.250 0.250 [8 per cell]
3 Pt 0.000 0.000 0.500 [4 per cell]

=====

# 2
First-principles (GGA-PBE) data for a relaxed Y2Pt2Au crystal, as listed in the Alexandria database.

calculated formation energy = -877 meV/atom
total magnetic moment = 0.00 μB/f.u.
distance to the lowest polymorph of the same formula = 0.222 eV/atom

a = 3.854 Å, b = 3.854 Å, c = 15.439 Å
α = 90.00°, β = 90.00°, γ = 90.00°
Space group I4/mmm (No. 139)
Unique sites:
1 Y 0.000 0.000 0.112 [4 per cell]
2 Pt 0.000 0.500 0.250 [4 per cell]
3 Au 0.000 0.000 0.500 [2 per cell]

=====

# 3
First-principles (GGA-PBE) data for a relaxed Tm2CuCl crystal, as listed in the Alexandria database.

raw formation energy = -0.67 eV/atom
total magnetic moment = 0.00 μB/f.u.

a = 3.8241 Å, b = 3.8241 Å, c = 22.2961 Å
α = 90.00°, β = 90.00°, γ = 120.00°
Space group R3m (No. 160, hexagonal axes)
Unique sites:
1 Tm 0.0000 0.0000 0.0000 [3 per cell]
2 Tm 0.0000 0.0000 0.1927 [3 per cell]
3 Cu 0.0000 0.0000 0.5959 [3 per cell]
4 Cl 0.0000 0.0000 0.7667 [3 per cell]

=====

# 4
First-principles (GGA-PBE) data for a relaxed Zn2CuC crystal, as listed in the Alexandria database.

calculated formation energy = 960 meV/atom
total magnetic moment = 0.00 μB/f.u.

a = 4.751 Å, b = 4.751 Å, c = 11.435 Å
α = 90.00°, β = 90.00°, γ = 90.00°
Space group I-42d (No. 122)
Unique sites:
1 Zn 0.137 0.250 0.125 [8 per cell]
2 Cu 0.000 0.000 0.500 [4 per cell]
3 C 0.000 0.000 0.000 [4 per cell]

=====

# 5
First-principles (GGA-PBE) data for a relaxed Pr4Tl2P crystal, as listed in the Alexandria database.

calculated formation energy = -640 meV/atom
total magnetic moment = 0.00 μB/f.u.

a = 13.014 Å, b = 4.276 Å, c = 9.312 Å
α = 90.00°, β = 122.07°, γ = 90.00°
Space group C2/m (No. 12)
Unique sites:
1 Pr 0.087 0.000 0.354 [4 per cell]
2 Pr 0.165 0.500 0.068 [4 per cell]
3 Tl 0.131 0.500 0.666 [4 per cell]
4 P 0.000 0.000 0.000 [2 per cell]

=====

# 6
First-principles (GGA-PBE) data for a relaxed Tm2CdCu crystal, as listed in the Alexandria database.

calculated formation energy = 195 meV/atom
total magnetic moment = 0.00 μB/f.u.
distance to the lowest polymorph of the same formula = 0.490 eV/atom

a = 3.4367 Å, b = 3.4367 Å, c = 31.2309 Å
α = 90.00°, β = 90.00°, γ = 120.00°
Space group R-3m (No. 166, hexagonal axes)
Unique sites:
1 Tm 0.0000 0.0000 0.1022 [6 per cell]
2 Cd 0.0000 0.0000 0.0000 [3 per cell]
3 Cu 0.0000 0.0000 0.5000 [3 per cell]

=====

# 7
First-principles (GGA-PBE) data for a relaxed MgInTc crystal, as listed in the Alexandria database.

calculated formation energy = 236 meV/atom
total magnetic moment = 0.00 μB/f.u.
distance to the lowest polymorph of the same formula = 0.000 eV/atom

a = 4.6436 Å, b = 4.6436 Å, c = 2.8594 Å
α = 90.00°, β = 90.00°, γ = 120.00°
Space group P3m1 (No. 156)
Unique sites:
1 Mg 0.0000 0.0000 0.0000 [1 per cell]
2 In 0.3333 0.6667 0.7049 [1 per cell]
3 Tc 0.6667 0.3333 0.3485 [1 per cell]

=====

# 8
First-principles (GGA-PBE) data for a relaxed CsYVS4 crystal, as listed in the Alexandria database.

raw formation energy = -1.39 eV/atom
total magnetic moment = 1.00 μB/f.u.

a = 6.553 Å, b = 6.808 Å, c = 9.476 Å
α = 90.00°, β = 108.26°, γ = 90.00°
Space group P2_1/m (No. 11)
Unique sites:
1 Cs 0.241 0.250 0.442 [2 per cell]
2 Y 0.289 0.250 0.957 [2 per cell]
3 V 0.259 0.750 0.155 [2 per cell]
4 S 0.055 0.750 0.926 [2 per cell]
5 S 0.065 0.750 0.305 [2 per cell]
6 S 0.498 0.503 0.188 [4 per cell]

=====

# 9
First-principles (GGA-PBE) data for a relaxed Ce2AuSe crystal, as listed in the Alexandria database.

raw formation energy = -1.18 eV/atom
total magnetic moment = 1.95 μB/f.u.
distance to the lowest polymorph of the same formula = 0.000 eV/atom

a = 4.043 Å, b = 23.830 Å, c = 4.398 Å
α = 90.00°, β = 90.00°, γ = 90.00°
Space group Cmcm (No. 63)
Unique sites:
1 Ce 0.000 0.068 0.250 [4 per cell]
2 Ce 0.000 0.315 0.250 [4 per cell]
3 Au 0.000 0.457 0.250 [4 per cell]
4 Se 0.000 0.191 0.250 [4 per cell]

=====

# 10
First-principles (GGA-PBE) data for a relaxed Ce4POsBr2 crystal, as listed in the Alexandria database.

raw formation energy = -1.05 eV/atom
total magnetic moment = 3.71 μB/f.u.

a = 7.266 Å, b = 4.064 Å, c = 7.624 Å
α = 90.00°, β = 107.17°, γ = 90.00°
Space group P2/m (No. 10)
Unique sites:
1 Ce 0.228 0.000 0.204 [2 per cell]
2 Ce 0.257 0.500 0.793 [2 per cell]
3 P 0.500 0.000 0.000 [1 per cell]
4 Os 0.000 0.500 0.000 [1 per cell]
5 Br 0.000 0.000 0.500 [1 per cell]
6 Br 0.500 0.500 0.500 [1 per cell]

=====

# 11
First-principles (GGA-PBE) data for a relaxed Sr2ZrTa crystal, as listed in the Alexandria database.

calculated formation energy = 941 meV/atom
total magnetic moment = 0.00 μB/f.u.
distance to the lowest polymorph of the same formula = 0.495 eV/atom

a = 12.084 Å, b = 3.295 Å, c = 5.760 Å
α = 90.00°, β = 99.45°, γ = 90.00°
Space group C2/m (No. 12)
Unique sites:
1 Sr 0.240 0.000 0.242 [4 per cell]
2 Zr 0.000 0.000 0.500 [2 per cell]
3 Ta 0.000 0.500 0.000 [2 per cell]

=====

# 12
First-principles (GGA-PBE) data for a relaxed Pm12SmSc6 crystal, as listed in the Alexandria database.

calculated formation energy = 268 meV/atom
total magnetic moment = 0.00 μB/f.u.

a = 14.4798 Å, b = 14.4798 Å, c = 10.1559 Å
α = 90.00°, β = 90.00°, γ = 120.00°
Space group R-3 (No. 148, hexagonal axes)
Unique sites:
1 Pm 0.0547 0.2538 0.0814 [18 per cell]
2 Pm 0.0623 0.2166 0.4138 [18 per cell]
3 Sm 0.0000 0.0000 0.0000 [3 per cell]
4 Sc 0.0541 0.2241 0.7590 [18 per cell]

=====

# 13
First-principles (GGA-PBE) data for a relaxed LiHg2Cl6 crystal, as listed in the Alexandria database.

raw formation energy = -0.68 eV/atom
total magnetic moment = 0.00 μB/f.u.

a = 6.724 Å, b = 6.168 Å, c = 12.658 Å
α = 90.00°, β = 113.72°, γ = 90.00°
Space group P2_1/c (No. 14)
Unique sites:
1 Li 0.000 0.000 0.000 [2 per cell]
2 Hg 0.304 0.002 0.819 [4 per cell]
3 Cl 0.011 0.247 0.352 [4 per cell]
4 Cl 0.300 0.710 0.482 [4 per cell]
5 Cl 0.348 0.231 0.673 [4 per cell]

=====

# 14
First-principles (GGA-PBE) data for a relaxed LiCd5Pb2 crystal, as listed in the Alexandria database.

calculated formation energy = -50 meV/atom
total magnetic moment = 0.00 μB/f.u.

a = 4.694 Å, b = 4.694 Å, c = 17.539 Å
α = 90.00°, β = 90.00°, γ = 90.00°
Space group I4/mmm (No. 139)
Unique sites:
1 Li 0.000 0.000 0.000 [2 per cell]
2 Cd 0.000 0.000 0.500 [2 per cell]
3 Cd 0.000 0.500 0.110 [8 per cell]
4 Pb 0.000 0.000 0.246 [4 per cell]

=====

# 15
First-principles (GGA-PBE) data for a relaxed CrCo2S4 crystal, as listed in the Alexandria database.

raw formation energy = 0.21 eV/atom
total magnetic moment = 5.90 μB/f.u.
distance to the lowest polymorph of the same formula = 0.694 eV/atom

a = 4.609 Å, b = 4.609 Å, c = 11.053 Å
α = 90.00°, β = 90.00°, γ = 90.00°
Space group I4/mmm (No. 139)
Unique sites:
1 Cr 0.000 0.000 0.000 [2 per cell]
2 Co 0.000 0.000 0.398 [4 per cell]
3 S 0.000 0.000 0.211 [4 per cell]
4 S 0.000 0.500 0.000 [4 per cell]

=====

# 16
First-principles (GGA-PBE) data for a relaxed TlCrIr crystal, as listed in the Alexandria database.

calculated formation energy = 666 meV/atom
total magnetic moment = 2.05 μB/f.u.
distance to the lowest polymorph of the same formula = 0.305 eV/atom

a = 6.100 Å, b = 6.100 Å, c = 6.100 Å
α = 90.00°, β = 90.00°, γ = 90.00°
Space group F-43m (No. 216)
Unique sites:
1 Tl 0.000 0.000 0.000 [4 per cell]
2 Cr 0.250 0.250 0.750 [4 per cell]
3 Ir 0.000 0.000 0.500 [4 per cell]

=====

# 17
First-principles (GGA-PBE) data for a relaxed TcOsPb2 crystal, as listed in the Alexandria database.

calculated formation energy = 1110 meV/atom
total magnetic moment = 0.62 μB/f.u.
distance to the lowest polymorph of the same formula = 0.746 eV/atom

a = 4.188 Å, b = 4.188 Å, c = 8.920 Å
α = 90.00°, β = 90.00°, γ = 90.00°
Space group I-4m2 (No. 119)
Unique sites:
1 Tc 0.000 0.000 0.000 [2 per cell]
2 Os 0.000 0.500 0.750 [2 per cell]
3 Pb 0.000 0.000 0.500 [2 per cell]
4 Pb 0.000 0.500 0.250 [2 per cell]

=====

# 18
First-principles (GGA-PBE) data for a relaxed InC3 crystal, as listed in the Alexandria database.

calculated formation energy = 1986 meV/atom
total magnetic moment = 0.00 μB/f.u.
distance to the lowest polymorph of the same formula = 1.086 eV/atom

a = 2.531 Å, b = 6.659 Å, c = 7.038 Å
α = 90.00°, β = 90.00°, γ = 90.00°
Space group Cmmm (No. 65)
Unique sites:
1 In 0.000 0.000 0.000 [2 per cell]
2 C 0.000 0.000 0.500 [2 per cell]
3 C 0.000 0.500 0.381 [4 per cell]

=====

# 19
First-principles (GGA-PBE) data for a relaxed PrMnC crystal, as listed in the Alexandria database.

calculated formation energy = -136 meV/atom
total magnetic moment = 1.29 μB/f.u.
distance to the lowest polymorph of the same formula = 0.000 eV/atom

a = 3.422 Å, b = 3.422 Å, c = 8.707 Å
α = 90.00°, β = 90.00°, γ = 90.00°
Space group P4/nmm (No. 129, origin choice 2)
Unique sites:
1 Pr 0.250 0.250 0.206 [2 per cell]
2 Mn 0.250 0.750 0.500 [2 per cell]
3 C 0.250 0.250 0.626 [2 per cell]

=====

# 20
First-principles (GGA-PBE) data for a relaxed Yb6Te crystal, as listed in the Alexandria database.

raw formation energy = 0.91 eV/atom
total magnetic moment = 1.21 μB/f.u.

a = 9.820 Å, b = 9.820 Å, c = 9.820 Å
α = 90.00°, β = 90.00°, γ = 90.00°
Space group Im-3m (No. 229)
Unique sites:
1 Yb 0.000 0.250 0.500 [12 per cell]
2 Te 0.000 0.000 0.000 [2 per cell]